# LaBi | Alexandria | PBE | relaxed
# formation energy	-22.421	kcal/mol of atoms
# Fermi-level density of states	0.24	states/eV per atom
# offset from the most stable computed form	0.084	eV per atom
# uncorrected energy	-5.3765	eV/atom
data_LaBi
_chemical_formula_sum 'La6 Bi6'
_space_group_name_H-M_alt 'P m m n'
_space_group_IT_number 59
_cell_length_a 4.889
_cell_length_b 19.473
_cell_length_c 4.519
_cell_angle_alpha 90.00
_cell_angle_beta 90.00
_cell_angle_gamma 90.00
loop_
_space_group_symop_operation_xyz
'x,y,z'
'-x,-y,-z'
'-x+1/2,-y+1/2,z'
'x+1/2,y+1/2,-z'
'x+1/2,-y,-z'
'-x+1/2,y,z'
'-x,y+1/2,-z'
'x,-y+1/2,z'
loop_
_atom_site_label
_atom_site_type_symbol
_atom_site_fract_x
_atom_site_fract_y
_atom_site_fract_z
La1 La 0.250 0.082 0.032
La2 La 0.250 0.750 0.471
Bi1 Bi 0.250 0.250 0.031
Bi2 Bi 0.250 0.578 0.468